# 1
# Cs2Ac2BiO6 | Alexandria via LeMat-Bulk | PBE-GGA | optimized geometry
# total magnetic moment	0.084	μB/atom
# electronic total energy	-6.060	eV/atom
# E_form (uncorrected)	-2.101	eV/atom
data_Cs2Ac2BiO6
_symmetry_space_group_name_H-M 'C 1 2/m 1'
_symmetry_Int_Tables_number 12
_symmetry_space_group_name_Hall '-C 2y'
_cell_length_a 6.5671
_cell_length_b 11.2719
_cell_length_c 7.3822
_cell_angle_alpha 90.00
_cell_angle_beta 104.96
_cell_angle_gamma 90.00
loop_
_atom_site_label
_atom_site_type_symbol
_atom_site_fract_x
_atom_site_fract_y
_atom_site_fract_z
Cs1 Cs 0.0000 0.1626 0.0000
Ac1 Ac 0.0000 0.3352 0.5000
Bi1 Bi 0.0000 0.0000 0.5000
O1 O 0.2012 0.1594 0.6614
O2 O 0.2494 0.5000 0.6689



# 2
# Cs4Ac3BiO8 | Alexandria via LeMat-Bulk | PBE-GGA | optimized geometry
# total magnetic moment	0.000	μB/atom
# electronic total energy	-5.888	eV/atom
# E_form (uncorrected)	-2.183	eV/atom
data_Cs4Ac3BiO8
_symmetry_space_group_name_H-M 'R -3 m'
_symmetry_Int_Tables_number 166
_symmetry_space_group_name_Hall '-R 3 2"'
_cell_length_a 7.7199
_cell_length_b 7.7199
_cell_length_c 21.0023
_cell_angle_alpha 90.00
_cell_angle_beta 90.00
_cell_angle_gamma 120.00
loop_
_atom_site_label
_atom_site_type_symbol
_atom_site_fract_x
_atom_site_fract_y
_atom_site_fract_z
Cs1 Cs 0.0000 0.0000 0.0000
Cs2 Cs 0.0000 0.5000 0.0000
Ac1 Ac 0.0000 0.5000 0.5000
Bi1 Bi 0.0000 0.0000 0.5000
O1 O 0.0000 0.0000 0.2243
O2 O 0.0059 0.5030 0.2255



# 3
# Cs3AcBi2S6 | Alexandria via LeMat-Bulk | PBE-GGA | optimized geometry
# total magnetic moment	0.000	μB/atom
# electronic total energy	-4.402	eV/atom
# E_form (uncorrected)	-1.135	eV/atom
data_Cs3AcBi2S6
_symmetry_space_group_name_H-M 'C 1 2/m 1'
_symmetry_Int_Tables_number 12
_symmetry_space_group_name_Hall '-C 2y'
_cell_length_a 7.4717
_cell_length_b 12.9375
_cell_length_c 8.4763
_cell_angle_alpha 90.00
_cell_angle_beta 107.09
_cell_angle_gamma 90.00
loop_
_atom_site_label
_atom_site_type_symbol
_atom_site_fract_x
_atom_site_fract_y
_atom_site_fract_z
Cs1 Cs 0.0000 0.0000 0.0000
Cs2 Cs 0.0000 0.3333 0.0000
Ac1 Ac 0.0000 0.5000 0.5000
Bi1 Bi 0.0000 0.1665 0.5000
S1 S 0.2188 0.0000 0.6902
S2 S 0.2359 0.3278 0.6907



# 4
# Cs2AcBiS4 | Alexandria via LeMat-Bulk | PBE-GGA | optimized geometry
# total magnetic moment	0.000	μB/atom
# electronic total energy	-4.589	eV/atom
# E_form (uncorrected)	-1.314	eV/atom
data_Cs2AcBiS4
_symmetry_space_group_name_H-M 'P 1 2/m 1'
_symmetry_Int_Tables_number 10
_symmetry_space_group_name_Hall '-P 2y'
_cell_length_a 7.5161
_cell_length_b 4.3735
_cell_length_c 8.4965
_cell_angle_alpha 90.00
_cell_angle_beta 107.30
_cell_angle_gamma 90.00
loop_
_atom_site_label
_atom_site_type_symbol
_atom_site_fract_x
_atom_site_fract_y
_atom_site_fract_z
Cs1 Cs 0.0000 0.0000 0.0000
Cs2 Cs 0.5000 0.5000 0.0000
Ac1 Ac 0.0000 0.5000 0.5000
Bi1 Bi 0.5000 0.0000 0.5000
S1 S 0.2404 0.0000 0.6924
S2 S 0.2794 0.5000 0.3103



# 5
# Cs2AcBiSe4 | Alexandria via LeMat-Bulk | PBE-GGA | optimized geometry
# total magnetic moment	0.000	μB/atom
# electronic total energy	-4.241	eV/atom
# E_form (uncorrected)	-1.287	eV/atom
data_Cs2AcBiSe4
_symmetry_space_group_name_H-M 'P 1 2/m 1'
_symmetry_Int_Tables_number 10
_symmetry_space_group_name_Hall '-P 2y'
_cell_length_a 7.7945
_cell_length_b 4.5277
_cell_length_c 8.8209
_cell_angle_alpha 90.00
_cell_angle_beta 107.24
_cell_angle_gamma 90.00
loop_
_atom_site_label
_atom_site_type_symbol
_atom_site_fract_x
_atom_site_fract_y
_atom_site_fract_z
Cs1 Cs 0.0000 0.0000 0.0000
Cs2 Cs 0.5000 0.5000 0.0000
Ac1 Ac 0.0000 0.5000 0.5000
Bi1 Bi 0.5000 0.0000 0.5000
Se1 Se 0.2415 0.0000 0.6965
Se2 Se 0.2787 0.5000 0.3074



# 6
# Cs3AcBi2Te6 | Alexandria via LeMat-Bulk | PBE-GGA | optimized geometry
# total magnetic moment	0.000	μB/atom
# electronic total energy	-3.682	eV/atom
# E_form (uncorrected)	-0.908	eV/atom
data_Cs3AcBi2Te6
_symmetry_space_group_name_H-M 'C 1 2/m 1'
_symmetry_Int_Tables_number 12
_symmetry_space_group_name_Hall '-C 2y'
_cell_length_a 8.2171
_cell_length_b 14.2312
_cell_length_c 9.3861
_cell_angle_alpha 90.00
_cell_angle_beta 107.02
_cell_angle_gamma 90.00
loop_
_atom_site_label
_atom_site_type_symbol
_atom_site_fract_x
_atom_site_fract_y
_atom_site_fract_z
Cs1 Cs 0.0000 0.0000 0.0000
Cs2 Cs 0.0000 0.3362 0.0000
Ac1 Ac 0.0000 0.5000 0.5000
Bi1 Bi 0.0000 0.1669 0.5000
Te1 Te 0.2178 0.0000 0.6950
Te2 Te 0.2393 0.3264 0.6961



# 7
# AcCuBi | Alexandria via LeMat-Bulk | PBE-GGA | optimized geometry
# energy relative to the lowest polymorph listed for this composition	2.6	meV per atom
# total magnetic moment	0.000	μB/atom
# electronic total energy	-4.539	eV/atom
# formation enthalpy at 0 K	-511	meV per atom
data_AcCuBi
_symmetry_space_group_name_H-M 'C 1 2/m 1'
_symmetry_Int_Tables_number 12
_symmetry_space_group_name_Hall '-C 2y'
_cell_length_a 12.4544
_cell_length_b 4.5143
_cell_length_c 8.3490
_cell_angle_alpha 90.00
_cell_angle_beta 131.60
_cell_angle_gamma 90.00
loop_
_atom_site_label
_atom_site_type_symbol
_atom_site_fract_x
_atom_site_fract_y
_atom_site_fract_z
Ac1 Ac 0.0103 0.0000 0.2570
Cu1 Cu 0.1320 0.5000 0.1224
Bi1 Bi 0.1968 0.5000 0.7079



# 8
# Ac5Cu2Bi | Alexandria via LeMat-Bulk | PBE-GGA | optimized geometry
# total magnetic moment	0.000	μB/atom
# electronic total energy	-4.349	eV/atom
# formation enthalpy at 0 K	-272	meV per atom
data_Ac5Cu2Bi
_symmetry_space_group_name_H-M 'I 4/m c m'
_symmetry_Int_Tables_number 140
_symmetry_space_group_name_Hall '-I 4 2c'
_cell_length_a 8.7893
_cell_length_b 8.7893
_cell_length_c 14.2114
_cell_angle_alpha 90.00
_cell_angle_beta 90.00
_cell_angle_gamma 90.00
loop_
_atom_site_label
_atom_site_type_symbol
_atom_site_fract_x
_atom_site_fract_y
_atom_site_fract_z
Ac1 Ac 0.0000 0.0000 0.0000
Ac2 Ac 0.1528 0.3472 0.1396
Cu1 Cu 0.1363 0.3637 0.5000
Bi1 Bi 0.0000 0.0000 0.2500



# 9
# AcCuBi | Alexandria via LeMat-Bulk | PBE-GGA | optimized geometry
# energy relative to the lowest polymorph listed for this composition	309.4	meV per atom
# total magnetic moment	0.000	μB/atom
# electronic total energy	-4.232	eV/atom
# formation enthalpy at 0 K	-204	meV per atom
data_AcCuBi
_symmetry_space_group_name_H-M 'I 4 m m'
_symmetry_Int_Tables_number 107
_symmetry_space_group_name_Hall 'I 4 -2'
_cell_length_a 3.7618
_cell_length_b 3.7618
_cell_length_c 11.9454
_cell_angle_alpha 90.00
_cell_angle_beta 90.00
_cell_angle_gamma 90.00
loop_
_atom_site_label
_atom_site_type_symbol
_atom_site_fract_x
_atom_site_fract_y
_atom_site_fract_z
Ac1 Ac 0.0000 0.0000 0.0000
Cu1 Cu 0.0000 0.0000 0.3443
Bi1 Bi 0.0000 0.0000 0.7151



# 10
# Ac3CuBi | Alexandria via LeMat-Bulk | PBE-GGA | optimized geometry
# total magnetic moment	0.000	μB/atom
# electronic total energy	-4.232	eV/atom
# formation enthalpy at 0 K	-172	meV per atom
data_Ac3CuBi
_symmetry_space_group_name_H-M 'P m -3 m'
_symmetry_Int_Tables_number 221
_symmetry_space_group_name_Hall '-P 4 2 3'
_cell_length_a 5.8088
_cell_length_b 5.8088
_cell_length_c 5.8088
_cell_angle_alpha 90.00
_cell_angle_beta 90.00
_cell_angle_gamma 90.00
loop_
_atom_site_label
_atom_site_type_symbol
_atom_site_fract_x
_atom_site_fract_y
_atom_site_fract_z
Ac1 Ac 0.0000 0.0000 0.5000
Cu1 Cu 0.0000 0.0000 0.0000
Bi1 Bi 0.5000 0.5000 0.5000



# 11
# AcCuBi | Alexandria via LeMat-Bulk | PBE-GGA | optimized geometry
# energy relative to the lowest polymorph listed for this composition	0.0	meV per atom
# total magnetic moment	0.000	μB/atom
# electronic total energy	-4.542	eV/atom
# formation enthalpy at 0 K	-513	meV per atom
data_AcCuBi
_symmetry_space_group_name_H-M 'P 3 m 1'
_symmetry_Int_Tables_number 156
_symmetry_space_group_name_Hall 'P 3 -2"'
_cell_length_a 4.6303
_cell_length_b 4.6303
_cell_length_c 4.6521
_cell_angle_alpha 90.00
_cell_angle_beta 90.00
_cell_angle_gamma 120.00
loop_
_atom_site_label
_atom_site_type_symbol
_atom_site_fract_x
_atom_site_fract_y
_atom_site_fract_z
Ac1 Ac 0.0000 0.0000 0.0000
Cu1 Cu 0.3333 0.6667 0.4367
Bi1 Bi 0.6667 0.3333 0.5068



# 12
# AcCu3Bi3 | Alexandria via LeMat-Bulk | PBE-GGA | optimized geometry
# total magnetic moment	0.000	μB/atom
# electronic total energy	-3.927	eV/atom
# formation enthalpy at 0 K	79	meV per atom
data_AcCu3Bi3
_symmetry_space_group_name_H-M 'P m -3 n'
_symmetry_Int_Tables_number 223
_symmetry_space_group_name_Hall '-P 4n 2 3'
_cell_length_a 7.3475
_cell_length_b 7.3475
_cell_length_c 7.3475
_cell_angle_alpha 90.00
_cell_angle_beta 90.00
_cell_angle_gamma 90.00
loop_
_atom_site_label
_atom_site_type_symbol
_atom_site_fract_x
_atom_site_fract_y
_atom_site_fract_z
Ac1 Ac 0.0000 0.0000 0.0000
Cu1 Cu 0.0000 0.2500 0.5000
Bi1 Bi 0.0000 0.5000 0.2500



# 13
# Ac2CuBi | Alexandria via LeMat-Bulk | PBE-GGA | optimized geometry
# energy relative to the lowest polymorph listed for this composition	0.0	meV per atom
# total magnetic moment	0.000	μB/atom
# electronic total energy	-4.432	eV/atom
# formation enthalpy at 0 K	-383	meV per atom
data_Ac2CuBi
_symmetry_space_group_name_H-M 'P 4/m m m'
_symmetry_Int_Tables_number 123
_symmetry_space_group_name_Hall '-P 4 2'
_cell_length_a 5.5475
_cell_length_b 5.5475
_cell_length_c 4.2347
_cell_angle_alpha 90.00
_cell_angle_beta 90.00
_cell_angle_gamma 90.00
loop_
_atom_site_label
_atom_site_type_symbol
_atom_site_fract_x
_atom_site_fract_y
_atom_site_fract_z
Ac1 Ac 0.0000 0.5000 0.0000
Cu1 Cu 0.0000 0.0000 0.5000
Bi1 Bi 0.5000 0.5000 0.5000



# 14
# AcCu4Bi | Alexandria via LeMat-Bulk | PBE-GGA | optimized geometry
# total magnetic moment	0.000	μB/atom
# electronic total energy	-4.103	eV/atom
# formation enthalpy at 0 K	-40	meV per atom
data_AcCu4Bi
_symmetry_space_group_name_H-M 'F -4 3 m'
_symmetry_Int_Tables_number 216
_symmetry_space_group_name_Hall 'F -4 2 3'
_cell_length_a 7.7426
_cell_length_b 7.7426
_cell_length_c 7.7426
_cell_angle_alpha 90.00
_cell_angle_beta 90.00
_cell_angle_gamma 90.00
loop_
_atom_site_label
_atom_site_type_symbol
_atom_site_fract_x
_atom_site_fract_y
_atom_site_fract_z
Ac1 Ac 0.0000 0.0000 0.0000
Cu1 Cu 0.1246 0.1246 0.3754
Bi1 Bi 0.2500 0.2500 0.7500



# 15
# Ac2CuBi | Alexandria via LeMat-Bulk | PBE-GGA | optimized geometry
# energy relative to the lowest polymorph listed for this composition	45.3	meV per atom
# total magnetic moment	0.001	μB/atom
# electronic total energy	-4.386	eV/atom
# formation enthalpy at 0 K	-338	meV per atom
data_Ac2CuBi
_symmetry_space_group_name_H-M 'F m -3 m'
_symmetry_Int_Tables_number 225
_symmetry_space_group_name_Hall '-F 4 2 3'
_cell_length_a 8.0497
_cell_length_b 8.0497
_cell_length_c 8.0497
_cell_angle_alpha 90.00
_cell_angle_beta 90.00
_cell_angle_gamma 90.00
loop_
_atom_site_label
_atom_site_type_symbol
_atom_site_fract_x
_atom_site_fract_y
_atom_site_fract_z
Ac1 Ac 0.2500 0.2500 0.2500
Cu1 Cu 0.0000 0.0000 0.0000
Bi1 Bi 0.0000 0.0000 0.5000



# 16
# AcCuBi | Alexandria via LeMat-Bulk | PBE-GGA | optimized geometry
# energy relative to the lowest polymorph listed for this composition	77.2	meV per atom
# total magnetic moment	0.000	μB/atom
# electronic total energy	-4.465	eV/atom
# formation enthalpy at 0 K	-436	meV per atom
data_AcCuBi
_symmetry_space_group_name_H-M 'F -4 3 m'
_symmetry_Int_Tables_number 216
_symmetry_space_group_name_Hall 'F -4 2 3'
_cell_length_a 7.0777
_cell_length_b 7.0777
_cell_length_c 7.0777
_cell_angle_alpha 90.00
_cell_angle_beta 90.00
_cell_angle_gamma 90.00
loop_
_atom_site_label
_atom_site_type_symbol
_atom_site_fract_x
_atom_site_fract_y
_atom_site_fract_z
Ac1 Ac 0.0000 0.0000 0.0000
Cu1 Cu 0.2500 0.2500 0.7500
Bi1 Bi 0.0000 0.0000 0.5000



# 17
# AcCuBi4 | Alexandria via LeMat-Bulk | PBE-GGA | optimized geometry
# total magnetic moment	0.000	μB/atom
# electronic total energy	-3.867	eV/atom
# formation enthalpy at 0 K	88	meV per atom
data_AcCuBi4
_symmetry_space_group_name_H-M 'F -4 3 m'
_symmetry_Int_Tables_number 216
_symmetry_space_group_name_Hall 'F -4 2 3'
_cell_length_a 9.2467
_cell_length_b 9.2467
_cell_length_c 9.2467
_cell_angle_alpha 90.00
_cell_angle_beta 90.00
_cell_angle_gamma 90.00
loop_
_atom_site_label
_atom_site_type_symbol
_atom_site_fract_x
_atom_site_fract_y
_atom_site_fract_z
Ac1 Ac 0.0000 0.0000 0.0000
Cu1 Cu 0.2500 0.2500 0.7500
Bi1 Bi 0.1238 0.1238 0.3762



# 18
# AcCu2Bi | Alexandria via LeMat-Bulk | PBE-GGA | optimized geometry
# total magnetic moment	0.000	μB/atom
# electronic total energy	-4.070	eV/atom
# formation enthalpy at 0 K	-25	meV per atom
data_AcCu2Bi
_symmetry_space_group_name_H-M 'P 4/m m m'
_symmetry_Int_Tables_number 123
_symmetry_space_group_name_Hall '-P 4 2'
_cell_length_a 4.7866
_cell_length_b 4.7866
_cell_length_c 4.2993
_cell_angle_alpha 90.00
_cell_angle_beta 90.00
_cell_angle_gamma 90.00
loop_
_atom_site_label
_atom_site_type_symbol
_atom_site_fract_x
_atom_site_fract_y
_atom_site_fract_z
Ac1 Ac 0.0000 0.0000 0.0000
Cu1 Cu 0.0000 0.5000 0.5000
Bi1 Bi 0.5000 0.5000 0.0000



# 19
# Ac5Cu3Bi12 | Alexandria via LeMat-Bulk | PBE-GGA | optimized geometry
# total magnetic moment	0.000	μB/atom
# electronic total energy	-4.004	eV/atom
# formation enthalpy at 0 K	-34	meV per atom
data_Ac5Cu3Bi12
_symmetry_space_group_name_H-M 'I a -3 d'
_symmetry_Int_Tables_number 230
_symmetry_space_group_name_Hall '-I 4bd 2c 3'
_cell_length_a 18.5349
_cell_length_b 18.5349
_cell_length_c 18.5349
_cell_angle_alpha 90.00
_cell_angle_beta 90.00
_cell_angle_gamma 90.00
loop_
_atom_site_label
_atom_site_type_symbol
_atom_site_fract_x
_atom_site_fract_y
_atom_site_fract_z
Ac1 Ac 0.0000 0.0000 0.0000
Ac2 Ac 0.0000 0.2500 0.3750
Cu1 Cu 0.0000 0.2500 0.1250
Bi1 Bi 0.0225 0.1101 0.6492



# 20
# AcGdCuBi | Alexandria via LeMat-Bulk | PBE-GGA | optimized geometry
# total magnetic moment	2.049	μB/atom
# electronic total energy	-6.868	eV/atom
# formation enthalpy at 0 K	-327	meV per atom
data_AcGdCuBi
_symmetry_space_group_name_H-M 'F -4 3 m'
_symmetry_Int_Tables_number 216
_symmetry_space_group_name_Hall 'F -4 2 3'
_cell_length_a 7.8055
_cell_length_b 7.8055
_cell_length_c 7.8055
_cell_angle_alpha 90.00
_cell_angle_beta 90.00
_cell_angle_gamma 90.00
loop_
_atom_site_label
_atom_site_type_symbol
_atom_site_fract_x
_atom_site_fract_y
_atom_site_fract_z
Ac1 Ac 0.0000 0.0000 0.0000
Gd1 Gd 0.0000 0.0000 0.5000
Cu1 Cu 0.2500 0.2500 0.2500
Bi1 Bi 0.2500 0.2500 0.7500



# 21
# Ac2Cu4Ge3Bi | Alexandria via LeMat-Bulk | PBE-GGA | optimized geometry
# total magnetic moment	0.000	μB/atom
# electronic total energy	-4.665	eV/atom
# formation enthalpy at 0 K	-432	meV per atom
data_Ac2Cu4Ge3Bi
_symmetry_space_group_name_H-M 'P -4 m 2'
_symmetry_Int_Tables_number 115
_symmetry_space_group_name_Hall 'P -4 -2'
_cell_length_a 4.4570
_cell_length_b 4.4570
_cell_length_c 10.5337
_cell_angle_alpha 90.00
_cell_angle_beta 90.00
_cell_angle_gamma 90.00
loop_
_atom_site_label
_atom_site_type_symbol
_atom_site_fract_x
_atom_site_fract_y
_atom_site_fract_z
Ac1 Ac 0.0000 0.5000 0.2268
Cu1 Cu 0.0000 0.0000 0.0000
Cu2 Cu 0.0000 0.5000 0.6487
Cu3 Cu 0.5000 0.5000 0.0000
Ge1 Ge 0.0000 0.5000 0.8806
Ge2 Ge 0.5000 0.5000 0.5000
Bi1 Bi 0.0000 0.0000 0.5000